Entry 1:
{"formula": "Al2ReTc", "functional": "GGA-PBE", "state": "relaxed", "sg": "P4mm (99)", "formation_energy_ev_per_fu": -1.5, "polymorph_energy_kj_per_mol_atoms": 0.0, "lattice": [[3.093, 0.000, 0.000], [0.000, 3.093, 0.000], [0.000, 0.000, 5.984]], "species": ["Tc", "Re", "Al", "Al"], "frac_coords": [[0.500, 0.500, 0.761], [0.000, 0.000, 0.492], [0.000, 0.000, 0.994], [0.500, 0.500, 0.254]]}

***

Entry 2:
{"formula": "AlReTc2", "functional": "GGA-PBE", "state": "relaxed", "sg": "R3m (160)", "formation_energy_ev_per_fu": 0.9, "lattice": [[4.188, 0.000, 0.000], [2.094, 3.627, 0.000], [2.094, 1.209, 4.298]], "species": ["Al", "Tc", "Tc", "Re"], "frac_coords": [[0.680, 0.680, 0.959], [0.265, 0.265, 0.204], [0.078, 0.078, 0.767], [0.477, 0.477, 0.570]]}

***

Ordered total magnetic moment results: 0.00; 0.00; unit μB/f.u..